<A>
The following is a PBE-GGA calculation of an optimized crystal structure of KLi3Tc, from Alexandria via LeMat-Bulk.

Geometry as POSCAR:
```
KLi3Tc
1.0
4.7330 0.0000 0.0000
0.0000 4.7330 0.0000
0.0000 0.0000 4.7330
K Li Tc
1 3 1
direct
0.0000 0.0000 0.0000 K
0.0000 0.0000 0.5000 Li
0.0000 0.5000 0.0000 Li
0.5000 0.0000 0.0000 Li
0.5000 0.5000 0.5000 Tc
```

<B>
The following is a PBE-GGA calculation of an optimized crystal structure of KLi3Tc, from Alexandria via LeMat-Bulk.

Geometry as POSCAR:
```
KLi3Tc
1.0
5.2495 0.0000 0.0000
0.0000 5.2495 0.0000
0.0000 0.0000 5.2495
K Li Tc
1 3 1
direct
0.0000 0.0000 0.0000 K
0.0000 0.5000 0.5000 Li
0.5000 0.0000 0.5000 Li
0.5000 0.5000 0.0000 Li
0.5000 0.5000 0.5000 Tc
```

According to the calculations, the structures order from most to least stable as <B>, <A>.

<A>
The following is a PBE-GGA calculation of an optimized crystal structure of KLiTc2, from Alexandria via LeMat-Bulk.

Geometry as POSCAR:
```
KLiTc2
1.0
-1.8257 1.8257 11.1787
1.8257 -1.8257 11.1787
1.8257 1.8257 -11.1787
K Li Tc
2 2 4
direct
0.0000 0.0000 0.0000 K
0.7500 0.2500 0.5000 K
0.2500 0.7500 0.5000 Li
0.5000 0.5000 0.0000 Li
0.1451 0.6250 0.0201 Tc
0.3750 0.3951 0.5201 Tc
0.6049 0.1250 0.9799 Tc
0.8750 0.8549 0.4799 Tc
```

<B>
The following is a PBE-GGA calculation of an optimized crystal structure of KLiTc2, from Alexandria via LeMat-Bulk.

Geometry as POSCAR:
```
KLiTc2
1.0
2.5686 0.0000 0.0000
0.0000 2.5686 0.0000
0.0000 0.0000 10.4883
K Li Tc
1 1 2
direct
0.0000 0.0000 0.0000 K
0.0000 0.0000 0.5000 Li
0.5000 0.5000 0.2848 Tc
0.5000 0.5000 0.7152 Tc
```

According to the calculations, the structures order from most to least stable as <B>, <A>.

<A>
The following is a PBE-GGA calculation of an optimized crystal structure of KLiTc2, from Alexandria via LeMat-Bulk.

Geometry as POSCAR:
```
KLiTc2
1.0
-1.8233 1.8233 5.4958
1.8233 -1.8233 5.4958
1.8233 1.8233 -5.4958
K Li Tc
1 1 2
direct
0.0000 0.0000 0.0000 K
0.5000 0.5000 0.0000 Li
0.2500 0.7500 0.5000 Tc
0.7500 0.2500 0.5000 Tc
```

<B>
The following is a PBE-GGA calculation of an optimized crystal structure of KLiTc2, from Alexandria via LeMat-Bulk.

Geometry as POSCAR:
```
KLiTc2
1.0
4.2418 -1.3500 0.0000
4.2418 1.3500 0.0000
-0.0738 0.0000 7.4710
K Li Tc
1 1 2
direct
0.0000 0.0000 0.0000 K
0.2467 0.2467 0.6456 Li
0.5097 0.5097 0.4598 Tc
0.7544 0.7544 0.3281 Tc
```

According to the calculations, the structures order from most to least stable as <B>, <A>.

<A>
The following is a PBE-GGA calculation of an optimized crystal structure of KLiTc2, from Alexandria via LeMat-Bulk.

Geometry as POSCAR:
```
KLiTc2
1.0
0.0000 3.2387 3.2387
3.2387 0.0000 3.2387
3.2387 3.2387 0.0000
K Li Tc
1 1 2
direct
0.0000 0.0000 0.0000 K
0.7500 0.7500 0.7500 Li
0.2500 0.2500 0.2500 Tc
0.5000 0.5000 0.5000 Tc
```

<B>
The following is a PBE-GGA calculation of an optimized crystal structure of KLiTc2, from Alexandria via LeMat-Bulk.

Geometry as POSCAR:
```
KLiTc2
1.0
0.0000 3.3928 3.3928
3.3928 0.0000 3.3928
3.3928 3.3928 0.0000
K Li Tc
1 1 2
direct
0.0000 0.0000 0.0000 K
0.5000 0.5000 0.5000 Li
0.2500 0.2500 0.2500 Tc
0.7500 0.7500 0.7500 Tc
```

According to the calculations, the structures order from most to least stable as <A>, <B>.